# 1
VASP calculation (PBE) on MgFe2Cu after structural relaxation.

final energy: -5.335 eV/atom
density of states at the Fermi level: 4.5 states/eV/f.u.
calculated volume: 53 Å³ per cell

Lattice parameters (Å, degrees): 8.8672 8.8672 8.8672 17.11 17.11 17.11
Last column: nearest neighbours and their distance in Å.
Atoms (fractional coordinates):
Cu  0.7500  0.7500  0.7500  6 Fe 2.59, 6 Cu 2.64
Fe  0.0036  0.0036  0.0036  3 Cu 2.59, 6 Fe 2.64, 3 Mg 2.74
Fe  0.4964  0.4964  0.4964  3 Cu 2.59, 6 Fe 2.64, 3 Mg 2.74
Mg  0.2500  0.2500  0.2500  6 Mg 2.64, 6 Fe 2.74

=====

# 2
VASP calculation (PBE) on MgFe2Cu after structural relaxation.

final energy: -5.417 eV/atom
density of states at the Fermi level: 3.8 states/eV/f.u.
calculated volume: 53 Å³ per cell

Lattice parameters (Å, degrees): 4.7227 4.7227 2.6136 90.00 90.00 114.45
Last column: nearest neighbours and their distance in Å.
Atoms (fractional coordinates):
Cu  0.0000  0.5000  0.5000  2 Mg 2.56, 2 Cu 2.61, 8 Fe 2.70
Fe  0.0000  0.0000  0.0000  4 Fe 2.56-2.61, 4 Mg 2.70, 4 Cu 2.70
Fe  0.5000  0.5000  0.0000  4 Fe 2.56-2.61, 4 Cu 2.70, 4 Mg 2.70
Mg  0.5000  0.0000  0.5000  2 Cu 2.56, 2 Mg 2.61, 8 Fe 2.70

=====

# 3
VASP calculation (PBE) on MgFeCu2 after structural relaxation.

final energy: -4.405 eV/atom
density of states at the Fermi level: 3.4 states/eV/f.u.
calculated volume: 54 Å³ per cell

Lattice parameters (Å, degrees): 5.1262 5.1262 5.1262 148.08 129.46 61.04
Last column: nearest neighbours and their distance in Å.
Atoms (fractional coordinates):
Cu  0.0139  0.0139  0.0000  2 Cu 2.49, 4 Fe 2.61, 2 Mg 2.69
Cu  0.2464  0.7464  0.5000  2 Cu 2.49, 2 Fe 2.54, 4 Mg 2.60
Fe  0.4858  0.4858  0.0000  6 Cu 2.54-2.61, 2 Mg 2.76, 2 Fe 2.82
Mg  0.7539  0.2539  0.5000  6 Cu 2.60-2.69, 2 Fe 2.76, 2 Mg 2.82

=====

# 4
VASP calculation (PBE) on MgFeCu2 after structural relaxation.

final energy: -4.467 eV/atom
density of states at the Fermi level: 1.9 states/eV/f.u.
calculated volume: 54 Å³ per cell

Lattice parameters (Å, degrees): 2.7399 2.7399 7.2284 90.00 90.00 90.00
Last column: nearest neighbours and their distance in Å.
Atoms (fractional coordinates):
Cu  0.0000  0.0000  0.0195  4 Fe 2.56, 4 Cu 2.74, 4 Mg 2.75
Cu  0.0000  0.0000  0.4805  4 Fe 2.56, 4 Cu 2.74, 4 Mg 2.75
Fe  0.5000  0.5000  0.2500  8 Cu 2.56, 4 Fe 2.74
Mg  0.5000  0.5000  0.7500  4 Mg 2.74, 8 Cu 2.75

=====

# 5
VASP calculation (PBE) on MgFe2Cu after structural relaxation.

final energy: -5.484 eV/atom
density of states at the Fermi level: 2.6 states/eV/f.u.
calculated volume: 54 Å³ per cell

Lattice parameters (Å, degrees): 2.6301 2.6301 7.9296 90.00 90.00 101.96
Last column: nearest neighbours and their distance in Å.
Atoms (fractional coordinates):
Cu  0.5000  0.5000  0.7664  4 Fe 2.50-2.78, 4 Cu 2.63, 2 Mg 2.68
Fe  0.0000  0.0000  0.0034  8 Fe 2.44-2.72, 2 Cu 2.50
Fe  0.5000  0.5000  0.2296  8 Fe 2.44-2.72, 2 Mg 2.71
Mg  0.0000  0.0000  0.5006  4 Mg 2.63, 4 Cu 2.68-2.94, 2 Fe 2.71

=====

# 6
VASP calculation (PBE) on MgFe2Cu after structural relaxation.

final energy: -5.421 eV/atom
density of states at the Fermi level: 4.2 states/eV/f.u.
calculated volume: 53 Å³ per cell

Lattice parameters (Å, degrees): 5.0303 5.0303 2.5669 80.10 80.10 119.97
Last column: nearest neighbours and their distance in Å.
Atoms (fractional coordinates):
Cu  0.0000  0.5000  0.5000  2 Mg 2.52, 2 Cu 2.57, 4 Fe 2.62
Fe  0.0000  0.0000  0.0000  4 Fe 2.52-2.57, 2 Mg 2.62, 2 Cu 2.62
Fe  0.5000  0.5000  0.0000  4 Fe 2.52-2.57, 2 Cu 2.62, 2 Mg 2.62
Mg  0.5000  0.0000  0.5000  2 Cu 2.52, 2 Mg 2.57, 4 Fe 2.62

=====

no.,energy relative to the elements (eV/f.u.)
1,1.28
2,0.95
3,0.63
4,0.38
5,0.68
6,0.93